Record 1
BaMg2Cl: relaxed, PBE.

## Properties
Calculated total energy = -2.153 eV per atom
Calculated density = 3.0 g/cm³
Total magnetization = 0.00 μB per cell
Density of states at the Fermi level = 1.91 states/eV/f.u.
Formation energy (no corrections) = -0.413 eV per atom

```
BaMg2Cl
1.0
3.7324 0.0000 0.0000
-1.8662 3.2323 0.0000
0.0000 0.0000 30.6247
Ba Mg Cl
3 6 3
Direct
0.0000 0.0000 0.0000
0.3333 0.6667 0.6667
0.6667 0.3333 0.3333
0.0000 0.0000 0.2322
0.0000 0.0000 0.7678
0.3333 0.6667 0.4344
0.3333 0.6667 0.8989
0.6667 0.3333 0.1011
0.6667 0.3333 0.5656
0.0000 0.0000 0.5000
0.3333 0.6667 0.1667
0.6667 0.3333 0.8333
```

Record 2
Ce2ZnBr: relaxed, PBE.

## Properties
Calculated total energy = -4.260 eV per atom
Calculated density = 7.2 g/cm³
Total magnetization = 1.82 μB per cell
Density of states at the Fermi level = 11.34 states/eV/f.u.
Formation energy (no corrections) = -0.557 eV per atom

```
Ce2ZnBr
1.0
3.4763 0.0000 0.0000
0.0000 3.4763 0.0000
0.0000 0.0000 8.1536
Ce Zn Br
2 1 1
Direct
0.0000 0.0000 0.2351
0.0000 0.0000 0.7649
0.5000 0.5000 0.0000
0.5000 0.5000 0.5000
```

Record 3
ErTm4Sb2: relaxed, PBE.

## Properties
Calculated total energy = -4.067 eV per atom
Calculated density = 8.2 g/cm³
Total magnetization = 0.00 μB per cell
Density of states at the Fermi level = 4.93 states/eV/f.u.
Formation energy (no corrections) = 0.318 eV per atom

```
ErTm4Sb2
1.0
5.2025 0.0000 0.0000
0.0000 5.2025 0.0000
0.0000 0.0000 16.2134
Er Tm Sb
2 8 4
Direct
0.0000 0.0000 0.0000
0.5000 0.5000 0.5000
0.0000 0.0000 0.1832
0.0000 0.0000 0.8168
0.0000 0.5000 0.0000
0.0000 0.5000 0.5000
0.5000 0.0000 0.0000
0.5000 0.0000 0.5000
0.5000 0.5000 0.3168
0.5000 0.5000 0.6832
0.0000 0.0000 0.3669
0.0000 0.0000 0.6331
0.5000 0.5000 0.1331
0.5000 0.5000 0.8669
```

Record 4
HoTm3Tc: relaxed, PBE.

## Properties
Calculated total energy = -5.710 eV per atom
Calculated density = 9.0 g/cm³
Total magnetization = 0.00 μB per cell
Density of states at the Fermi level = 4.72 states/eV/f.u.
Formation energy from the elements = -39 meV/atom

```
HoTm3Tc
1.0
5.7651 -4.2711 0.0000
5.7651 4.2711 0.0000
-5.1947 0.0000 5.7524
Ho Tm Tc
2 6 2
Direct
0.0534 0.0534 0.3453
0.9466 0.9466 0.6547
0.0554 0.4474 0.2061
0.4456 0.4456 0.7413
0.4474 0.0554 0.2061
0.5526 0.9446 0.7939
0.5544 0.5544 0.2587
0.9446 0.5526 0.7939
0.2502 0.2502 0.8762
0.7498 0.7498 0.1238
```

Record 5
DyBeCu3: relaxed, PBE.

## Properties
Calculated total energy = -4.236 eV per atom
Calculated density = 8.1 g/cm³
Total magnetization = 0.00 μB per cell
Density of states at the Fermi level = 2.45 states/eV/f.u.
Formation energy from the elements = -113 meV/atom

```
DyBeCu3
1.0
5.9050 0.0000 0.0000
-2.9525 5.1139 0.0000
0.0000 0.0000 4.9135
Dy Be Cu
2 2 6
Direct
0.3333 0.6667 0.2500
0.6667 0.3333 0.7500
0.0000 0.0000 0.0000
0.0000 0.0000 0.5000
0.1865 0.3729 0.7500
0.1865 0.8135 0.7500
0.3729 0.1865 0.2500
0.6271 0.8135 0.7500
0.8135 0.1865 0.2500
0.8135 0.6271 0.2500
```

Record 6
Hf2TlCo2: relaxed, PBE.

## Properties
Calculated total energy = -7.524 eV per atom
Calculated density = 13.3 g/cm³
Total magnetization = 0.00 μB per cell
Density of states at the Fermi level = 4.68 states/eV/f.u.
Formation energy from the elements = -227 meV/atom

```
Hf2TlCo2
1.0
7.2353 0.0000 0.0000
0.0000 7.2353 0.0000
0.0000 0.0000 3.2416
Hf Tl Co
4 2 4
Direct
0.1617 0.3383 0.0000
0.3383 0.8383 0.0000
0.6617 0.1617 0.0000
0.8383 0.6617 0.0000
0.0000 0.0000 0.5000
0.5000 0.5000 0.5000
0.1279 0.6279 0.5000
0.3721 0.1279 0.5000
0.6279 0.8721 0.5000
0.8721 0.3721 0.5000
```

Record 7
RbTeIr2S: relaxed, PBE.

## Properties
Calculated total energy = -2.284 eV per atom
Calculated density = 6.8 g/cm³
Total magnetization = 2.68 μB per cell
Density of states at the Fermi level = 7.57 states/eV/f.u.
Formation energy (no corrections) = 2.908 eV per atom

```
RbTeIr2S
1.0
4.9050 0.0000 0.0000
0.0000 4.9050 0.0000
0.0000 0.0000 6.3981
Rb Te Ir S
1 1 2 1
Direct
0.0000 0.0000 0.0000
0.0000 0.0000 0.5000
0.0000 0.5000 0.0000
0.5000 0.0000 0.0000
0.5000 0.5000 0.5000
```

Record 8
Sr3CuHg: relaxed, PBE.

## Properties
Calculated total energy = -1.936 eV per atom
Calculated density = 4.2 g/cm³
Total magnetization = 0.00 μB per cell
Density of states at the Fermi level = 4.06 states/eV/f.u.
Formation energy from the elements = -47 meV/atom

```
Sr3CuHg
1.0
5.9062 0.0000 0.0000
0.0000 5.9062 0.0000
0.0000 0.0000 5.9062
Sr Cu Hg
3 1 1
Direct
0.0000 0.0000 0.5000
0.0000 0.5000 0.0000
0.5000 0.0000 0.0000
0.0000 0.0000 0.0000
0.5000 0.5000 0.5000
```

Record 9
Na2VAu4: relaxed, PBE.

## Properties
Calculated total energy = -3.328 eV per atom
Calculated density = 7.7 g/cm³
Total magnetization = 5.30 μB per cell
Density of states at the Fermi level = 5.02 states/eV/f.u.
Formation energy from the elements = 225 meV/atom

```
Na2VAu4
1.0
5.0458 0.0000 0.0000
0.0000 5.0458 0.0000
0.0000 0.0000 15.0091
Na V Au
4 2 8
Direct
0.0000 0.0000 0.1265
0.0000 0.0000 0.8735
0.5000 0.5000 0.3735
0.5000 0.5000 0.6265
0.0000 0.0000 0.5000
0.5000 0.5000 0.0000
0.0000 0.0000 0.3307
0.0000 0.0000 0.6693
0.0000 0.5000 0.0000
0.0000 0.5000 0.5000
0.5000 0.0000 0.0000
0.5000 0.0000 0.5000
0.5000 0.5000 0.1693
0.5000 0.5000 0.8307
```

Record 10
Er3InSe2: relaxed, PBE.

## Properties
Calculated total energy = -5.176 eV per atom
Calculated density = 8.5 g/cm³
Total magnetization = 0.00 μB per cell
Density of states at the Fermi level = 1.04 states/eV/f.u.
Formation energy (no corrections) = -1.276 eV per atom

```
Er3InSe2
1.0
13.5489 0.0000 0.0000
0.0000 5.9099 0.0000
-1.1593 0.0000 3.7908
Er In Se
6 2 4
Direct
0.0000 0.0000 0.0000
0.1769 0.5000 0.6750
0.3231 0.0000 0.3250
0.5000 0.5000 0.0000
0.6769 0.0000 0.6750
0.8231 0.5000 0.3250
0.0000 0.5000 0.0000
0.5000 0.0000 0.0000
0.1651 0.0000 0.6687
0.3349 0.5000 0.3313
0.6651 0.5000 0.6687
0.8349 0.0000 0.3313
```

Record 11
GaPF2: relaxed, PBE.

## Properties
Calculated total energy = -3.462 eV per atom
Calculated density = 4.1 g/cm³
Total magnetization = 6.74 μB per cell
Density of states at the Fermi level = 3.03 states/eV/f.u.
Formation energy (no corrections) = -0.417 eV per atom

```
GaPF2
1.0
6.1004 0.0000 0.0000
0.0000 6.1004 0.0000
0.0000 0.0000 6.1004
Ga P F
4 4 8
Direct
0.0000 0.0000 0.0000
0.0000 0.5000 0.5000
0.5000 0.0000 0.5000
0.5000 0.5000 0.0000
0.0000 0.0000 0.5000
0.0000 0.5000 0.0000
0.5000 0.0000 0.0000
0.5000 0.5000 0.5000
0.2500 0.2500 0.2500
0.2500 0.2500 0.7500
0.2500 0.7500 0.2500
0.2500 0.7500 0.7500
0.7500 0.2500 0.2500
0.7500 0.2500 0.7500
0.7500 0.7500 0.2500
0.7500 0.7500 0.7500
```

Record 12
La2NdRh2: relaxed, PBE.

## Properties
Calculated total energy = -6.471 eV per atom
Calculated density = 8.1 g/cm³
Total magnetization = 0.00 μB per cell
Density of states at the Fermi level = 3.78 states/eV/f.u.
Formation energy from the elements = -606 meV/atom

```
La2NdRh2
1.0
7.9484 0.0000 0.0000
0.0000 7.9484 0.0000
0.0000 0.0000 4.0932
La Nd Rh
4 2 4
Direct
0.1595 0.3405 0.0000
0.3405 0.8405 0.0000
0.6595 0.1595 0.0000
0.8405 0.6595 0.0000
0.0000 0.0000 0.5000
0.5000 0.5000 0.5000
0.1453 0.6453 0.5000
0.3547 0.1453 0.5000
0.6453 0.8547 0.5000
0.8547 0.3547 0.5000
```

Record 13
Ho2TmScBi5: relaxed, PBE.

## Properties
Calculated total energy = -4.302 eV per atom
Calculated density = 7.9 g/cm³
Total magnetization = 0.00 μB per cell
Density of states at the Fermi level = 7.59 states/eV/f.u.
Formation energy from the elements = 72 meV/atom

```
Ho2TmScBi5
1.0
5.4205 0.0000 0.0000
0.0000 5.4205 0.0000
0.0000 0.0000 11.4373
Ho Tm Sc Bi
2 1 1 5
Direct
0.0000 0.0000 0.2237
0.0000 0.0000 0.7763
0.5000 0.5000 0.0000
0.5000 0.5000 0.5000
0.0000 0.0000 0.5000
0.0000 0.5000 0.0000
0.5000 0.0000 0.0000
0.5000 0.5000 0.2597
0.5000 0.5000 0.7403
```

Record 14
TlGaAs3: relaxed, PBE.

## Properties
Calculated total energy = -3.358 eV per atom
Calculated density = 6.5 g/cm³
Total magnetization = 0.00 μB per cell
Density of states at the Fermi level = 5.54 states/eV/f.u.
Formation energy from the elements = 510 meV/atom

```
TlGaAs3
1.0
5.0442 0.0000 0.0000
0.0000 5.0442 0.0000
0.0000 0.0000 5.0442
Tl Ga As
1 1 3
Direct
0.0000 0.0000 0.0000
0.5000 0.5000 0.5000
0.0000 0.5000 0.5000
0.5000 0.0000 0.5000
0.5000 0.5000 0.0000
```

Record 15
LiRh2PbN: relaxed, PBE.

## Properties
Calculated total energy = -5.759 eV per atom
Calculated density = 10.0 g/cm³
Total magnetization = 0.00 μB per cell
Density of states at the Fermi level = 4.45 states/eV/f.u.
Formation energy (no corrections) = -0.029 eV per atom

```
LiRh2PbN
1.0
4.1399 0.0000 0.0000
0.0000 4.1399 0.0000
0.0000 0.0000 4.2143
Li Rh Pb N
1 2 1 1
Direct
0.0000 0.0000 0.0000
0.0000 0.5000 0.5000
0.5000 0.0000 0.5000
0.5000 0.5000 0.0000
0.0000 0.0000 0.5000
```

Record 16
MnPt2Br: relaxed, PBE.

## Properties
Calculated total energy = -5.293 eV per atom
Calculated density = 12.7 g/cm³
Total magnetization = 17.41 μB per cell
Density of states at the Fermi level = 3.46 states/eV/f.u.
Formation energy (no corrections) = 0.438 eV per atom

```
MnPt2Br
1.0
6.4950 0.0000 0.0000
0.0000 6.4950 0.0000
0.0000 0.0000 6.4950
Mn Pt Br
4 8 4
Direct
0.0000 0.0000 0.0000
0.0000 0.5000 0.5000
0.5000 0.0000 0.5000
0.5000 0.5000 0.0000
0.2500 0.2500 0.2500
0.2500 0.2500 0.7500
0.2500 0.7500 0.2500
0.2500 0.7500 0.7500
0.7500 0.2500 0.2500
0.7500 0.2500 0.7500
0.7500 0.7500 0.2500
0.7500 0.7500 0.7500
0.0000 0.0000 0.5000
0.0000 0.5000 0.0000
0.5000 0.0000 0.0000
0.5000 0.5000 0.5000
```

Record 17
YTi2Pt: relaxed, PBE.

## Properties
Calculated total energy = -7.503 eV per atom
Calculated density = 8.0 g/cm³
Total magnetization = 0.00 μB per cell
Density of states at the Fermi level = 3.72 states/eV/f.u.
Formation energy from the elements = -429 meV/atom

```
YTi2Pt
1.0
3.1314 0.0000 0.0000
0.0000 3.1314 0.0000
0.0000 0.0000 8.0378
Y Ti Pt
1 2 1
Direct
0.0000 0.0000 0.0000
0.0000 0.0000 0.4579
0.5000 0.5000 0.6781
0.5000 0.5000 0.2713
```

Record 18
Dy2Er6Pu: relaxed, PBE.

## Properties
Calculated total energy = -5.610 eV per atom
Calculated density = 9.6 g/cm³
Total magnetization = 6.07 μB per cell
Density of states at the Fermi level = 16.65 states/eV/f.u.
Formation energy from the elements = 47 meV/atom

```
Dy2Er6Pu
1.0
3.4930 0.0000 0.0000
0.0128 8.5766 0.0000
1.7392 0.0094 9.1063
Dy Er Pu
2 6 1
Direct
0.2229 0.3336 0.0550
0.7771 0.6664 0.9450
0.1096 0.6661 0.2797
0.3350 0.0019 0.8301
0.4450 0.6708 0.6101
0.5550 0.3292 0.3899
0.6650 0.9981 0.1699
0.8904 0.3339 0.7203
0.0000 0.0000 0.5000
```

Record 19
MnNiMo3: relaxed, PBE.

## Properties
Calculated total energy = -8.243 eV per atom
Calculated density = 7.8 g/cm³
Total magnetization = 0.00 μB per cell
Density of states at the Fermi level = 4.99 states/eV/f.u.
Formation energy from the elements = 1246 meV/atom

```
MnNiMo3
1.0
4.4068 0.0000 0.0000
0.0000 4.4068 0.0000
0.0000 0.0000 4.4068
Mn Ni Mo
1 1 3
Direct
0.0000 0.0000 0.0000
0.5000 0.5000 0.5000
0.0000 0.0000 0.5000
0.0000 0.5000 0.0000
0.5000 0.0000 0.0000
```

Record 20
Th2CdTe: relaxed, PBE.

## Properties
Calculated total energy = -4.797 eV per atom
Calculated density = 8.7 g/cm³
Total magnetization = 0.00 μB per cell
Density of states at the Fermi level = 5.01 states/eV/f.u.
Formation energy (no corrections) = -0.073 eV per atom

```
Th2CdTe
1.0
3.6725 0.0000 0.0000
-1.8362 3.1805 0.0000
0.0000 0.0000 34.3529
Th Cd Te
6 3 3
Direct
0.0000 0.0000 0.0969
0.0000 0.0000 0.9031
0.3333 0.6667 0.5698
0.3333 0.6667 0.7636
0.6667 0.3333 0.2364
0.6667 0.3333 0.4302
0.0000 0.0000 0.0000
0.3333 0.6667 0.6667
0.6667 0.3333 0.3333
0.0000 0.0000 0.5000
0.3333 0.6667 0.1667
0.6667 0.3333 0.8333
```

Record 21
NaZnHg3: relaxed, PBE.

## Properties
Calculated total energy = -0.455 eV per atom
Calculated density = 5.7 g/cm³
Total magnetization = 0.00 μB per cell
Density of states at the Fermi level = 2.77 states/eV/f.u.
Formation energy from the elements = 245 meV/atom

```
NaZnHg3
1.0
5.8605 0.0000 0.0000
0.0000 5.8605 0.0000
0.0000 0.0000 5.8605
Na Zn Hg
1 1 3
Direct
0.0000 0.0000 0.0000
0.5000 0.5000 0.5000
0.0000 0.0000 0.5000
0.0000 0.5000 0.0000
0.5000 0.0000 0.0000
```

Record 22
TcMo2HRu: relaxed, PBE.

## Properties
Calculated total energy = -8.856 eV per atom
Calculated density = 10.5 g/cm³
Total magnetization = 0.00 μB per cell
Density of states at the Fermi level = 3.93 states/eV/f.u.

```
TcMo2HRu
1.0
3.9856 0.0000 0.0000
0.0000 3.9856 0.0000
0.0000 0.0000 3.9207
Tc Mo H Ru
1 2 1 1
Direct
0.0000 0.0000 0.0000
0.0000 0.5000 0.5000
0.5000 0.0000 0.5000
0.0000 0.0000 0.5000
0.5000 0.5000 0.0000
```

Record 23
TaMnOs3: relaxed, PBE.

## Properties
Calculated total energy = -9.540 eV per atom
Calculated density = 15.8 g/cm³
Total magnetization = 0.00 μB per cell
Density of states at the Fermi level = 5.94 states/eV/f.u.
Formation energy from the elements = 1402 meV/atom

```
TaMnOs3
1.0
4.3919 0.0000 0.0000
0.0000 4.3919 0.0000
0.0000 0.0000 4.3919
Ta Mn Os
1 1 3
Direct
0.0000 0.0000 0.0000
0.5000 0.5000 0.5000
0.0000 0.5000 0.5000
0.5000 0.0000 0.5000
0.5000 0.5000 0.0000
```

Record 24
Pm5Ni2Hg: relaxed, PBE.

## Properties
Calculated total energy = -4.746 eV per atom
Calculated density = 8.3 g/cm³
Total magnetization = 0.00 μB per cell
Density of states at the Fermi level = 8.89 states/eV/f.u.
Formation energy from the elements = -294 meV/atom

```
Pm5Ni2Hg
1.0
-3.9621 3.9621 6.6641
3.9621 -3.9621 6.6641
3.9621 3.9621 -6.6641
Pm Ni Hg
10 4 2
Direct
0.0000 0.0000 0.0000
0.0239 0.5239 0.8212
0.2028 0.0239 0.5000
0.2972 0.7972 0.8212
0.4761 0.2972 0.5000
0.5000 0.5000 0.0000
0.5239 0.7028 0.5000
0.7028 0.2028 0.1788
0.7972 0.9761 0.5000
0.9761 0.4761 0.1788
0.1218 0.3782 0.5000
0.3782 0.8782 0.2564
0.6218 0.1218 0.7436
0.8782 0.6218 0.5000
0.2500 0.2500 0.0000
0.7500 0.7500 0.0000
```

Record 25
HfNb3Si: relaxed, PBE.

## Properties
Calculated total energy = -8.950 eV per atom
Calculated density = 8.1 g/cm³
Total magnetization = 0.00 μB per cell
Density of states at the Fermi level = 5.56 states/eV/f.u.
Formation energy (no corrections) = 0.167 eV per atom

```
HfNb3Si
1.0
3.4114 1.9696 4.9404
-3.4114 1.9696 4.9404
0.0000 -3.9391 4.9404
Hf Nb Si
2 6 2
Direct
0.0000 0.0000 0.0000
0.5000 0.5000 0.5000
0.1217 0.9792 0.4367
0.4367 0.1217 0.9792
0.4792 0.6217 0.9367
0.6217 0.9367 0.4792
0.9367 0.4792 0.6217
0.9792 0.4367 0.1217
0.3176 0.3176 0.3176
0.8176 0.8176 0.8176
```

Record 26
TlRe2Sb: relaxed, PBE.

## Properties
Calculated total energy = -6.721 eV per atom
Calculated density = 15.3 g/cm³
Total magnetization = 0.00 μB per cell
Density of states at the Fermi level = 3.67 states/eV/f.u.
Formation energy (no corrections) = 1.125 eV per atom

```
TlRe2Sb
1.0
3.1308 0.0000 0.0000
0.0000 5.2841 0.0000
0.0000 0.0000 9.1895
Tl Re Sb
2 4 2
Direct
0.0000 0.0000 0.0000
0.5000 0.5000 0.5000
0.0000 0.5000 0.2318
0.0000 0.5000 0.7682
0.5000 0.0000 0.2682
0.5000 0.0000 0.7318
0.0000 0.0000 0.5000
0.5000 0.5000 0.0000
```